Below is crystalline La2CuSbH at its relaxed geometry, with properties calculated at the PBE level.

a b c (Å): 5.194 5.194 4.113
angles (deg): 90.00 90.00 90.00
Space group P4/mmm (No. 123)
Inequivalent atoms, fractional coordinates:
La: 0.000 0.500 0.000
Cu: 0.000 0.000 0.500
Sb: 0.500 0.500 0.500
H: 0.000 0.000 0.000

Summary:
electronic total energy	-4.858	eV/atom

=====

Below is crystalline LuMgGaNi at its relaxed geometry, with properties calculated at the PBE level.

a b c (Å): 6.581 6.581 6.581
angles (deg): 90.00 90.00 90.00
Space group F-43m (No. 216)
Inequivalent atoms, fractional coordinates:
Lu: 0.000 0.000 0.000
Mg: 0.000 0.000 0.500
Ga: 0.250 0.250 0.750
Ni: 0.250 0.250 0.250

Summary:
electronic total energy	-4.103	eV/atom